one.
Material: HgBS2N
Method: DFT, GGA-PBE
State: optimized geometry

Summary:
* magnetic moment: 2.9 μB/cell
* space-group type: P4/mmm, No. 123
* D(E_F): 3.932 states/eV/cell

Lattice parameters (Å, degrees): 5.146 5.146 4.209 90.00 90.00 90.00
Element x y z (fractional)
S 0.000 0.500 0.000
S 0.500 0.000 0.000
Hg 0.000 0.000 0.000
B 0.500 0.500 0.500
N 0.000 0.000 0.500

=====

two.
Material: HgBS2N
Method: DFT, GGA-PBE
State: optimized geometry

Summary:
* magnetic moment: 0.0 μB/cell
* space-group type: P4/mmm, No. 123
* D(E_F): 2.884 states/eV/cell

Lattice parameters (Å, degrees): 6.720 6.720 2.558 90.00 90.00 90.00
Element x y z (fractional)
S 0.500 0.000 0.000
N 0.000 0.000 0.500
B 0.000 0.000 0.000
S 0.000 0.500 0.000
Hg 0.500 0.500 0.500

=====

Relative to the most stable structure, the computed energies are one 1912; two 0, all in meV/atom.

=====

one.
Material: NaHg3B
Method: DFT, GGA-PBE
State: optimized geometry

Summary:
* magnetic moment: 0.0 μB/cell
* space-group type: Pm-3m, No. 221
* D(E_F): 1.833 states/eV/cell

Lattice parameters (Å, degrees): 4.796 4.796 4.796 90.00 90.00 90.00
Element x y z (fractional)
Hg 0.000 0.500 0.000
Na 0.500 0.500 0.500
B 0.000 0.000 0.000
Hg 0.500 0.000 0.000
Hg 0.000 0.000 0.500

=====

two.
Material: NaHg3B
Method: DFT, GGA-PBE
State: optimized geometry

Summary:
* magnetic moment: 1.6 μB/cell
* space-group type: Pm-3m, No. 221
* D(E_F): 6.707 states/eV/cell

Lattice parameters (Å, degrees): 5.745 5.745 5.745 90.00 90.00 90.00
Element x y z (fractional)
B 0.500 0.500 0.500
Hg 0.500 0.000 0.000
Hg 0.000 0.000 0.500
Hg 0.000 0.500 0.000
Na 0.000 0.000 0.000

=====

Relative to the most stable structure, the computed energies are one 0; two 836, all in meV/atom.